(1)
Computed, not measured: an optimized crystal structure of KAgN2F at the PBE level of DFT.

Raw formation energy = 1.4565 eV/atom
Space-group type = P4/mmm
Offset from the most stable computed form = 0.857 eV per atom

Structure (extended XYZ):
```
5
Lattice="5.230 0.000 0.000 0.000 5.230 0.000 0.000 0.000 4.705" Properties=species:S:1:pos:R:3 pbc="T T T"
F 0.000 0.000 2.353
N 0.000 2.615 0.000
K 0.000 0.000 0.000
Ag 2.615 2.615 2.353
N 2.615 0.000 0.000
```


(2)
Computed, not measured: an optimized crystal structure of KAgN2F at the PBE level of DFT.

Raw formation energy = 0.5995 eV/atom
Space-group type = P4/mmm
Offset from the most stable computed form = 0.000 eV per atom

Structure (extended XYZ):
```
5
Lattice="4.086 0.000 0.000 0.000 4.086 0.000 0.000 0.000 5.457" Properties=species:S:1:pos:R:3 pbc="T T T"
K 2.043 2.043 2.729
Ag 0.000 0.000 0.000
F 0.000 0.000 2.729
N 2.043 0.000 0.000
N 0.000 2.043 0.000
```